A relaxed MgNiAs2O7 crystal. Source: the Alexandria database, functional PBE with a Hubbard U.

Values from the calculation:
Space group: P2_1/c
Magnetic moment (μB per formula unit): 1.96
DFT total energy (eV per atom): -5.892

Cell lengths 7.2547, 8.6222, 9.4324 Å; angles 90.00, 110.49, 90.00 degrees
With the nearest neighbours (Å) after each atom.
Element x y z (fractional)
Mg1 0.3781 0.9304 0.1115  6 O 2.07-2.17
Mg2 0.1219 0.4304 0.3885  6 O 2.07-2.17
Mg3 0.6219 0.0696 0.8885  6 O 2.07-2.17
Mg4 0.8781 0.5696 0.6115  6 O 2.07-2.17
Ni1 0.1311 0.0635 0.3204  5 O 1.98-2.08
Ni2 0.3689 0.5635 0.1796  5 O 1.98-2.08
Ni3 0.8689 0.9365 0.6796  5 O 1.98-2.08
Ni4 0.6311 0.4365 0.8204  5 O 1.98-2.08
As1 0.6845 0.2348 0.2356  4 O 1.68-1.79
As2 0.8155 0.7348 0.2644  4 O 1.68-1.79
As3 0.3155 0.7652 0.7644  4 O 1.68-1.79
As4 0.1845 0.2652 0.7356  4 O 1.68-1.79
As5 0.0623 0.2759 0.0378  4 O 1.71-1.77
As6 0.4377 0.7759 0.4622  4 O 1.71-1.77
As7 0.9377 0.7241 0.9622  4 O 1.71-1.77
As8 0.5623 0.2241 0.5378  4 O 1.71-1.77
O1 0.8133 0.2623 0.9466  1 As 1.71
O2 0.6867 0.7623 0.5534  1 As 1.71
O3 0.1867 0.7377 0.0534  1 As 1.71
O4 0.3133 0.2377 0.4466  1 As 1.71
O5 0.5771 0.4093 0.1926  1 As 1.68
O6 0.9229 0.9093 0.3074  1 As 1.68
O7 0.4229 0.5907 0.8074  1 As 1.68
O8 0.0771 0.0907 0.6926  1 As 1.68
O9 0.5836 0.0943 0.1043  1 As 1.70
O10 0.9164 0.5943 0.3957  1 As 1.70
O11 0.4164 0.9057 0.8957  1 As 1.70
O12 0.0836 0.4057 0.6043  1 As 1.70
O13 0.6703 0.1584 0.4075  2 As 1.77-1.79
O14 0.8297 0.6584 0.0925  2 As 1.77-1.79
O15 0.3297 0.8416 0.5925  2 As 1.77-1.79
O16 0.1703 0.3416 0.9075  2 As 1.77-1.79
O17 0.6402 0.0753 0.6640  1 As 1.71
O18 0.8598 0.5753 0.8360  1 As 1.71
O19 0.3598 0.9247 0.3360  1 As 1.71
O20 0.1402 0.4247 0.1640  1 As 1.71
O21 0.4353 0.2554 0.7847  1 As 1.72
O22 0.0647 0.7554 0.7153  1 As 1.72
O23 0.5647 0.7446 0.2153  1 As 1.72
O24 0.9353 0.2446 0.2847  1 As 1.72
O25 0.6611 0.3991 0.6123  1 As 1.71
O26 0.8389 0.8991 0.8877  1 As 1.71
O27 0.3389 0.6009 0.3877  1 As 1.71
O28 0.1611 0.1009 0.1123  1 As 1.71